# 1
Below is a relaxed Al3SbW crystal, with properties calculated at the PBE level.

The calculation puts the uncorrected formation energy at 0.79 eV per atom. As for the density of states at the Fermi level: 3.3 states/eV/f.u. The value obtained for the relative energy among the computed polymorphs is 0 meV/atom.

It has space group Pm-3m (No. 221), with a = 4.9141 Å, b = 4.9141 Å, c = 4.9141 Å, α = 90.00°, β = 90.00° and γ = 90.00°. The asymmetric unit holds Al at (0.0000, 0.0000, 0.5000), Sb at (0.5000, 0.5000, 0.5000) and W at (0.0000, 0.0000, 0.0000).

=====

# 2
Below is a relaxed SrPuRuN3 crystal, with properties calculated at the PBE level.

The calculation puts the uncorrected formation energy at -0.60 eV per atom. As for the density of states at the Fermi level: 7.7 states/eV/f.u.

It has space group P2_1/m (No. 11), with a = 7.1798 Å, b = 3.5203 Å, c = 8.7570 Å, α = 90.00°, β = 104.46° and γ = 90.00°. The asymmetric unit holds Sr at (0.1849, 0.2500, 0.1694), Pu at (0.3354, 0.7500, 0.8523), Ru at (0.0356, 0.2500, 0.6148), N at (0.1237, 0.2500, 0.8577), N at (0.1630, 0.7500, 0.5929) and N at (0.4471, 0.7500, 0.1153).

=====

# 3
Below is a relaxed Sm3GaH crystal, with properties calculated at the PBE level.

As for the density of states at the Fermi level: 4.4 states/eV/f.u. The value obtained for the relative energy among the computed polymorphs is 0 meV/atom.

It has space group P2_1/c (No. 14), with a = 6.5814 Å, b = 6.4471 Å, c = 11.0497 Å, α = 90.00°, β = 95.28° and γ = 90.00°. The asymmetric unit holds Sm at (0.0802, 0.0476, 0.1567), Sm at (0.2134, 0.5344, 0.0884), Sm at (0.3958, 0.1667, 0.8771), Ga at (0.3552, 0.6935, 0.8495) and H at (0.0817, 0.2325, 0.9707).